No. 1
{"formula": "HoLu2Bi3", "functional": "GGA-PBE", "state": "optimized geometry", "lattice": [[-2.9210, 3.3167, -0.1694], [0.5959, -2.2314, 3.7718], [7.7623, 6.9846, 2.9057]], "species": ["Bi", "Bi", "Bi", "Ho", "Lu", "Lu"], "frac_coords": [[0.0000, 0.0000, 0.0000], [0.3333, 0.6667, 0.3307], [0.6667, 0.3333, 0.6693], [0.0000, 0.0000, 0.5000], [0.6667, 0.3333, 0.1661], [0.3333, 0.6667, 0.8339]], "total_magnetization_mub_per_atom": 0.001, "spacegroup": "P-3m1, No. 164", "e_tot_ev_per_cell": -30.5}


No. 2
{"formula": "Ho3Lu3Bi2Os", "functional": "GGA-PBE", "state": "optimized geometry", "lattice": [[8.1656, 0.0000, 0.0000], [-4.0828, 7.0716, 0.0000], [0.0000, 0.0000, 4.2238]], "species": ["Bi", "Bi", "Ho", "Ho", "Ho", "Lu", "Lu", "Lu", "Os"], "frac_coords": [[0.6667, 0.3333, 0.5000], [0.3333, 0.6667, 0.5000], [0.6155, 0.0000, 0.0000], [0.3845, 0.3845, 0.0000], [0.0000, 0.6155, 0.0000], [0.2307, 0.0000, 0.5000], [0.0000, 0.2307, 0.5000], [0.7693, 0.7693, 0.5000], [0.0000, 0.0000, 0.0000]], "total_magnetization_mub_per_atom": 0.003, "spacegroup": "P-62m, No. 189", "e_tot_ev_per_cell": -51.9, "e_above_lowest_polymorph_ev_per_atom": 0.000}


Repeat the first record exactly.
{"formula": "HoLu2Bi3", "functional": "GGA-PBE", "state": "optimized geometry", "lattice": [[-2.9210, 3.3167, -0.1694], [0.5959, -2.2314, 3.7718], [7.7623, 6.9846, 2.9057]], "species": ["Bi", "Bi", "Bi", "Ho", "Lu", "Lu"], "frac_coords": [[0.0000, 0.0000, 0.0000], [0.3333, 0.6667, 0.3307], [0.6667, 0.3333, 0.6693], [0.0000, 0.0000, 0.5000], [0.6667, 0.3333, 0.1661], [0.3333, 0.6667, 0.8339]], "total_magnetization_mub_per_atom": 0.001, "spacegroup": "P-3m1, No. 164", "e_tot_ev_per_cell": -30.5}


Which formula does entry 2 have?
Ho3Lu3Bi2Os